Entry 1:
This record from the Alexandria database describes crystalline Y7Er3Tm at its relaxed geometry. The functional is GGA-PBE.

**ΔE_f**: 148 meV per atom
**Uncorrected energy**: -61.8 eV for the cell shown

CIF file:
```
data_Y7Er3Tm
_chemical_formula_sum 'Y7 Er3 Tm1'
_space_group_name_H-M_alt 'P 1 2/m 1'
_space_group_IT_number 10
_cell_length_a 6.920
_cell_length_b 5.514
_cell_length_c 9.946
_cell_angle_alpha 90.00
_cell_angle_beta 110.03
_cell_angle_gamma 90.00
loop_
_space_group_symop_operation_xyz
'x,y,z'
'-x,-y,-z'
'-x,y,-z'
'x,-y,z'
loop_
_atom_site_label
_atom_site_fract_x
_atom_site_fract_y
_atom_site_fract_z
_atom_site_occupancy
Y1 0.000 0.000 0.000 1
Y2 0.146 0.500 0.290 1
Y3 0.319 0.500 0.638 1
Y4 0.418 0.000 0.830 1
Er1 0.000 0.000 0.500 1
Er2 0.278 0.500 0.999 1
Tm1 0.500 0.000 0.500 1
```


Entry 2:
This record from the Alexandria database describes crystalline Li2ZrPd2 at its relaxed geometry. The functional is GGA-PBE.

**ΔE_f**: -413 meV per atom
**Uncorrected energy**: -49.7 eV for the cell shown

CIF file:
```
data_Li2ZrPd2
_chemical_formula_sum 'Li4 Zr2 Pd4'
_space_group_name_H-M_alt 'P 4/m b m'
_space_group_IT_number 127
_space_group_name_Hall '-P 4 2ab'
_cell_length_a 7.304
_cell_length_b 7.304
_cell_length_c 2.872
_cell_angle_alpha 90.00
_cell_angle_beta 90.00
_cell_angle_gamma 90.00
loop_
_atom_site_label
_atom_site_fract_x
_atom_site_fract_y
_atom_site_fract_z
_atom_site_occupancy
Li1 0.110 0.390 0.000 1
Zr1 0.000 0.000 0.000 1
Pd1 0.189 0.689 0.500 1
```


Entry 3:
This record from the Alexandria database describes crystalline Zr2HgPt at its relaxed geometry. The functional is GGA-PBE.

**ΔE_f**: -513 meV per atom
**Uncorrected energy**: -25.5 eV for the cell shown

CIF file:
```
data_Zr2HgPt
_chemical_formula_sum 'Zr2 Hg1 Pt1'
_space_group_name_H-M_alt 'P 1 2/m 1'
_space_group_IT_number 10
_cell_length_a 2.981
_cell_length_b 3.997
_cell_length_c 6.747
_cell_angle_alpha 90.00
_cell_angle_beta 90.07
_cell_angle_gamma 90.00
loop_
_space_group_symop_operation_xyz
'x,y,z'
'-x,-y,-z'
'-x,y,-z'
'x,-y,z'
loop_
_atom_site_label
_atom_site_fract_x
_atom_site_fract_y
_atom_site_fract_z
_atom_site_occupancy
Zr1 0.002 0.000 0.267 1
Hg1 0.500 0.500 0.000 1
Pt1 0.500 0.500 0.500 1
```


Entry 4:
This record from the Alexandria database describes crystalline NaYRu3 at its relaxed geometry. The functional is GGA-PBE.

**ΔE_f**: 1591 meV per atom
**Uncorrected energy**: -27.7 eV for the cell shown

CIF file:
```
data_NaYRu3
_chemical_formula_sum 'Na1 Y1 Ru3'
_space_group_name_H-M_alt 'P m -3 m'
_space_group_IT_number 221
_space_group_name_Hall '-P 4 2 3'
_cell_length_a 4.575
_cell_length_b 4.575
_cell_length_c 4.575
_cell_angle_alpha 90.00
_cell_angle_beta 90.00
_cell_angle_gamma 90.00
loop_
_atom_site_label
_atom_site_fract_x
_atom_site_fract_y
_atom_site_fract_z
_atom_site_occupancy
Na1 0.000 0.000 0.000 1
Y1 0.500 0.500 0.500 1
Ru1 0.000 0.000 0.500 1
```